(1)
A plane-wave DFT calculation with GGA-PBEsol was carried out for a geometry-optimized Ba2BeMoN structure.

**Formation energy from raw total energies**: 1.50 eV/atom
**Crystal system**: tetragonal
**Magnetic moment**: 0.812 μB/atom
**Calculated density**: 4.5 g cm⁻³
**Uncorrected energy**: -0.1550 hartree per atom
**Space group**: P4/mmm

Cell lengths 5.855, 5.855, 4.232 Å; angles 90.00, 90.00, 90.00 degrees
Fractional positions:
Ba (0.000, 0.500, 0.000)
Ba (0.500, 0.000, 0.000)
Be (0.000, 0.000, 0.000)
Mo (0.000, 0.000, 0.500)
N (0.500, 0.500, 0.500)

***

(2)
A plane-wave DFT calculation with GGA-PBEsol was carried out for a geometry-optimized BaBeMoS2 structure.

**Formation energy from raw total energies**: 0.14 eV/atom
**Crystal system**: tetragonal
**Magnetic moment**: 0.664 μB/atom
**Calculated density**: 5.2 g cm⁻³
**Uncorrected energy**: -0.1911 hartree per atom
**Space group**: P4/mmm

Cell lengths 4.763, 4.763, 4.353 Å; angles 90.00, 90.00, 90.00 degrees
Fractional positions:
Ba (0.000, 0.000, 0.000)
Be (0.500, 0.500, 0.500)
Mo (0.500, 0.500, 0.000)
S (0.000, 0.500, 0.500)
S (0.500, 0.000, 0.500)

***

(3)
A plane-wave DFT calculation with GGA-PBEsol was carried out for a geometry-optimized BaBePt2N structure.

**Formation energy from raw total energies**: 0.54 eV/atom
**Crystal system**: tetragonal
**Magnetic moment**: 0.000 μB/atom
**Calculated density**: 10.1 g cm⁻³
**Uncorrected energy**: -0.1903 hartree per atom
**Space group**: P4/mmm

Cell lengths 4.101, 4.101, 5.396 Å; angles 90.00, 90.00, 90.00 degrees
Fractional positions:
Ba (0.000, 0.000, 0.000)
Be (0.500, 0.500, 0.000)
Pt (0.000, 0.500, 0.500)
Pt (0.500, 0.000, 0.500)
N (0.000, 0.000, 0.500)

***

(4)
A plane-wave DFT calculation with GGA-PBEsol was carried out for a geometry-optimized BaNaBeRh2 structure.

**ΔH_f (0 K)**: 1.10 eV/atom
**Crystal system**: tetragonal
**Magnetic moment**: 0.000 μB/atom
**Calculated density**: 6.1 g cm⁻³
**Uncorrected energy**: -0.1347 hartree per atom
**Space group**: P4/mmm

Cell lengths 4.801, 4.801, 4.422 Å; angles 90.00, 90.00, 90.00 degrees
Fractional positions:
Ba (0.000, 0.000, 0.000)
Na (0.500, 0.500, 0.500)
Be (0.500, 0.500, 0.000)
Rh (0.000, 0.500, 0.500)
Rh (0.500, 0.000, 0.500)

***

(5)
A plane-wave DFT calculation with GGA-PBEsol was carried out for a geometry-optimized BaBeNb2 structure.

**ΔH_f (0 K)**: 1.16 eV/atom
**Crystal system**: tetragonal
**Magnetic moment**: 0.000 μB/atom
**Calculated density**: 5.7 g cm⁻³
**Uncorrected energy**: -0.2126 hartree per atom
**Space group**: I-42d

Cell lengths 4.507, 4.507, 18.974 Å; angles 90.00, 90.00, 90.00 degrees
Fractional positions:
Ba (0.000, 0.000, 0.000)
Ba (0.000, 0.500, 0.250)
Ba (0.500, 0.000, 0.750)
Ba (0.500, 0.500, 0.500)
Be (0.000, 0.000, 0.500)
Be (0.000, 0.500, 0.750)
Be (0.500, 0.000, 0.250)
Be (0.500, 0.500, 0.000)
Nb (0.105, 0.250, 0.625)
Nb (0.250, 0.605, 0.875)
Nb (0.250, 0.895, 0.375)
Nb (0.395, 0.250, 0.125)
Nb (0.605, 0.750, 0.125)
Nb (0.750, 0.105, 0.375)
Nb (0.750, 0.395, 0.875)
Nb (0.895, 0.750, 0.625)

***

(6)
A plane-wave DFT calculation with GGA-PBEsol was carried out for a geometry-optimized BaBe2NbW structure.

**ΔH_f (0 K)**: 1.29 eV/atom
**Crystal system**: tetragonal
**Magnetic moment**: 0.119 μB/atom
**Calculated density**: 6.3 g cm⁻³
**Uncorrected energy**: -0.2084 hartree per atom
**Space group**: P4/mmm

Cell lengths 4.882, 4.882, 4.777 Å; angles 90.00, 90.00, 90.00 degrees
Fractional positions:
Ba (0.000, 0.000, 0.000)
Be (0.000, 0.500, 0.500)
Be (0.500, 0.000, 0.500)
Nb (0.500, 0.500, 0.500)
W (0.500, 0.500, 0.000)

***

(7)
A plane-wave DFT calculation with GGA-PBEsol was carried out for a geometry-optimized BaBeNi2 structure.

**ΔH_f (0 K)**: 0.78 eV/atom
**Crystal system**: cubic
**Magnetic moment**: 0.000 μB/atom
**Calculated density**: 6.3 g cm⁻³
**Energy relative to the lowest polymorph listed for this composition**: 315 meV/atom
**Uncorrected energy**: -0.1409 hartree per atom
**Space group**: Fm-3m

Cell lengths 6.516, 6.516, 6.516 Å; angles 90.00, 90.00, 90.00 degrees
Fractional positions:
Ba (0.000, 0.000, 0.000)
Ba (0.000, 0.500, 0.500)
Ba (0.500, 0.000, 0.500)
Ba (0.500, 0.500, 0.000)
Be (0.000, 0.000, 0.500)
Be (0.000, 0.500, 0.000)
Be (0.500, 0.000, 0.000)
Be (0.500, 0.500, 0.500)
Ni (0.250, 0.250, 0.250)
Ni (0.250, 0.250, 0.750)
Ni (0.250, 0.750, 0.250)
Ni (0.250, 0.750, 0.750)
Ni (0.750, 0.250, 0.250)
Ni (0.750, 0.250, 0.750)
Ni (0.750, 0.750, 0.250)
Ni (0.750, 0.750, 0.750)

***

(8)
A plane-wave DFT calculation with GGA-PBEsol was carried out for a geometry-optimized BaBeNi2 structure.

**ΔH_f (0 K)**: 0.76 eV/atom
**Crystal system**: orthorhombic
**Magnetic moment**: 0.000 μB/atom
**Calculated density**: 6.6 g cm⁻³
**Energy relative to the lowest polymorph listed for this composition**: 293 meV/atom
**Uncorrected energy**: -0.1417 hartree per atom
**Space group**: Cmmm

Cell lengths 5.847, 6.766, 3.351 Å; angles 90.00, 90.00, 90.00 degrees
Fractional positions:
Ba (0.000, 0.000, 0.000)
Ba (0.500, 0.500, 0.000)
Be (0.000, 0.500, 0.000)
Be (0.500, 0.000, 0.000)
Ni (0.250, 0.250, 0.500)
Ni (0.250, 0.750, 0.500)
Ni (0.750, 0.250, 0.500)
Ni (0.750, 0.750, 0.500)